A plane-wave DFT calculation with PBE was carried out for a relaxed structure of Cs2MgSn2.

abc: 11.292 11.292 3.613
angles: 90.00 90.00 90.00
Element x y z (fractional)
1 Cs 0.205 0.705 0.500
2 Cs 0.705 0.795 0.500
3 Cs 0.795 0.295 0.500
4 Cs 0.295 0.205 0.500
5 Mg 0.000 0.000 0.000
6 Mg 0.500 0.500 0.000
7 Sn 0.412 0.912 0.000
8 Sn 0.912 0.588 0.000
9 Sn 0.588 0.088 0.000
10 Sn 0.088 0.412 0.000

For the magnetization, the calculation gives 0.0 μB/f.u. The calculated total energy comes out at -2.11 eV/atom.